Below is a relaxed structure of Ac3CeGa8, with properties calculated at the GGA-PBE level.

Cell lengths 5.810, 5.810, 10.094 Å; angles 73.28, 73.28, 60.00 degrees
Atoms (fractional coordinates):
Ac: 0.501 0.501 0.497
Ac: 0.375 0.375 0.875
Ga: 0.442 0.938 0.682
Ga: 0.938 0.938 0.682
Ga: 0.936 0.436 0.193
Ac: 0.999 0.999 0.004
Ga: 0.436 0.936 0.193
Ga: 0.687 0.687 0.938
Ga: 0.938 0.442 0.682
Ga: 0.188 0.188 0.436
Ga: 0.436 0.436 0.193
Ce: 0.875 0.875 0.375

Calculated values
Calculated total energy (eV per cell): -48.0
Crystal system: trigonal
SG: No. 160
ΔH_f (0 K) (eV/atom): -0.46

***

Below is a relaxed structure of AcCeGa2, with properties calculated at the GGA-PBE level.

Cell lengths 3.859, 3.859, 9.513 Å; angles 78.30, 78.30, 60.00 degrees
Atoms (fractional coordinates):
Ac: 0.500 0.500 0.500
Ga: 0.255 0.255 0.236
Ga: 0.745 0.745 0.764
Ce: 0.000 0.000 0.000

Calculated values
Calculated total energy (eV per cell): -16.9
Crystal system: trigonal
SG: No. 166
ΔH_f (0 K) (eV/atom): -0.21

***

Below is a relaxed structure of Ac2CeGa2, with properties calculated at the GGA-PBE level.

Cell lengths 4.886, 6.758, 10.335 Å; angles 81.64, 76.33, 68.81 degrees
Atoms (fractional coordinates):
Ce: 0.789 0.063 0.359
Ga: 0.971 0.155 0.904
Ac: 0.513 0.655 0.319
Ga: 0.877 0.680 0.567
Ac: 0.487 0.345 0.681
Ga: 0.123 0.320 0.433
Ac: 0.310 0.278 0.101
Ga: 0.029 0.845 0.096
Ce: 0.211 0.937 0.641
Ac: 0.690 0.722 0.899

Calculated values
Calculated total energy (eV per cell): -44.2
Crystal system: monoclinic
SG: No. 12
ΔH_f (0 K) (eV/atom): -0.38
ΔE to the lowest computed polymorph (meV/atom): 0

***

Below is a relaxed structure of AcCe2Ga2, with properties calculated at the GGA-PBE level.

Cell lengths 4.492, 4.502, 13.574 Å; angles 99.55, 99.52, 90.00 degrees
Atoms (fractional coordinates):
Ce: 0.950 0.200 0.900
Ce: 0.546 0.296 0.092
Ce: 0.454 0.704 0.908
Ac: 0.177 0.427 0.353
Ga: 0.274 0.024 0.548
Ga: 0.371 0.121 0.742
Ga: 0.629 0.879 0.258
Ac: 0.823 0.573 0.647
Ga: 0.726 0.976 0.452
Ce: 0.050 0.800 0.100

Calculated values
Calculated total energy (eV per cell): -47.6
Crystal system: orthorhombic
SG: No. 74
ΔH_f (0 K) (eV/atom): -0.35
ΔE to the lowest computed polymorph (meV/atom): 0

***

Below is a relaxed structure of Ac2CeGa6, with properties calculated at the GGA-PBE level.

Cell lengths 4.564, 7.548, 7.548 Å; angles 120.00, 90.00, 90.00 degrees
Atoms (fractional coordinates):
Ga: 0.500 0.329 0.000
Ga: 0.500 0.000 0.671
Ac: 0.000 0.667 0.333
Ga: 0.500 0.000 0.329
Ga: 0.500 0.671 0.000
Ce: 0.000 0.000 0.000
Ac: 0.000 0.333 0.667
Ga: 0.500 0.329 0.329
Ga: 0.500 0.671 0.671

Calculated values
Calculated total energy (eV per cell): -37.7
Crystal system: hexagonal
SG: No. 191
ΔH_f (0 K) (eV/atom): -0.60
ΔE to the lowest computed polymorph (meV/atom): 0

***

Below is a relaxed structure of AcCeGaHg, with properties calculated at the GGA-PBE level.

Cell lengths 5.494, 5.494, 5.494 Å; angles 60.00, 60.00, 60.00 degrees
Atoms (fractional coordinates):
Ac: 0.000 0.000 0.000
Ce: 0.500 0.500 0.500
Hg: 0.750 0.750 0.750
Ga: 0.250 0.250 0.250

Calculated values
Calculated total energy (eV per cell): -14.8
Crystal system: cubic
SG: No. 216
ΔH_f (0 K) (eV/atom): -0.36

***

Number 1: DOS at the Fermi energy 11.4 states/eV/f.u.. Number 2: DOS at the Fermi energy 8.2 states/eV/f.u.. Number 3: DOS at the Fermi energy 7.8 states/eV/f.u.. Number 4: DOS at the Fermi energy 8.0 states/eV/f.u.. Number 5: DOS at the Fermi energy 11.9 states/eV/f.u.. Number 6: DOS at the Fermi energy 10.6 states/eV/f.u..